[1]
DFT (PBE) results for an optimized crystal structure of CrCd2Hg.

a = 10.2594 Å, b = 10.2594 Å, c = 10.2594 Å
α = 17.57°, β = 17.57°, γ = 17.57°
Last column: magnetic moment on the atom in μB.
Fractional coordinates of all 4 atoms:
Cd: 0.5080 0.5080 0.5080  -0.01
Cd: 0.9920 0.9920 0.9920  -0.01
Hg: 0.7500 0.7500 0.7500  0.00
Cr: 0.2500 0.2500 0.2500  3.53

Results
- ΔE_f (eV/atom) = 0.35
- size of the total moment (μB/f.u.) = 3.937
- space group = R-3m


[2]
DFT (PBE) results for an optimized crystal structure of Cr4CdHg.

a = 4.9778 Å, b = 4.9778 Å, c = 4.9778 Å
α = 60.00°, β = 60.00°, γ = 60.00°
Fractional coordinates of all 6 atoms:
Cr: 0.1234 0.6255 0.6255
Cr: 0.6255 0.1234 0.6255
Cr: 0.6255 0.6255 0.6255
Cr: 0.6255 0.6255 0.1234
Cd: 0.0000 0.0000 0.0000
Hg: 0.2500 0.2500 0.2500

Results
- ΔE_f (eV/atom) = 0.59
- size of the total moment (μB/f.u.) = 0.000
- space group = F-43m


[3]
DFT (PBE) results for an optimized crystal structure of CrCdHg2.

a = 5.4479 Å, b = 5.4479 Å, c = 5.4479 Å
α = 133.73°, β = 133.17°, γ = 67.95°
Last column: magnetic moment on the atom in μB.
Fractional coordinates of all 4 atoms:
Cd: 0.4995 0.4995 0.0000  -0.02
Hg: 0.0007 0.0007 0.0000  -0.01
Hg: 0.7502 0.2502 0.5000  -0.01
Cr: 0.2496 0.7496 0.5000  3.81

Results
- ΔE_f (eV/atom) = 0.29
- size of the total moment (μB/f.u.) = 4.232
- space group = Imm2


[4]
DFT (PBE) results for an optimized crystal structure of CrCd2Hg.

a = 3.1392 Å, b = 3.1392 Å, c = 8.3463 Å
α = 90.00°, β = 90.00°, γ = 90.00°
Last column: magnetic moment on the atom in μB.
Fractional coordinates of all 4 atoms:
Cr: 0.0000 0.0000 0.5016  3.59
Hg: 0.5000 0.5000 0.7265  -0.02
Cd: 0.0000 0.0000 0.0011  -0.02
Cd: 0.5000 0.5000 0.2708  -0.04

Results
- ΔE_f (eV/atom) = 0.26
- size of the total moment (μB/f.u.) = 3.804
- space group = P4mm


[5]
DFT (PBE) results for an optimized crystal structure of CrCdHg2.

a = 4.4579 Å, b = 4.4667 Å, c = 4.1702 Å
α = 90.00°, β = 90.00°, γ = 90.00°
Last column: magnetic moment on the atom in μB.
Fractional coordinates of all 4 atoms:
Hg: 0.0000 0.0000 0.0000  -0.03
Hg: 0.5000 0.5000 0.0000  -0.03
Cd: 0.5000 0.0000 0.5000  -0.03
Cr: 0.0000 0.5000 0.5000  3.77

Results
- ΔE_f (eV/atom) = 0.29
- size of the total moment (μB/f.u.) = 4.059
- space group = P4/mmm


[6]
DFT (PBE) results for an optimized crystal structure of Cr2CdHg2.

a = 6.9505 Å, b = 6.9505 Å, c = 3.8674 Å
α = 90.00°, β = 90.00°, γ = 90.00°
Last column: magnetic moment on the atom in μB.
Fractional coordinates of all 10 atoms:
Hg: 0.6930 0.8070 0.5000  -0.01
Hg: 0.1930 0.6930 0.5000  -0.01
Hg: 0.8070 0.3070 0.5000  -0.01
Hg: 0.3070 0.1930 0.5000  -0.01
Cd: 0.0000 0.0000 0.0000  0.01
Cd: 0.5000 0.5000 0.0000  0.01
Cr: 0.5960 0.0960 0.0000  0.55
Cr: 0.4040 0.9040 0.0000  0.55
Cr: 0.9040 0.5960 0.0000  0.57
Cr: 0.0960 0.4040 0.0000  0.57

Results
- ΔE_f (eV/atom) = 0.54
- size of the total moment (μB/f.u.) = 1.227
- space group = P4/mbm
- energy relative to the lowest polymorph listed for this composition (eV per atom) = 0.0000


[7]
DFT (PBE) results for an optimized crystal structure of CrCdHg2.

a = 9.6312 Å, b = 9.6312 Å, c = 9.6312 Å
α = 19.67°, β = 19.67°, γ = 19.67°
Last column: magnetic moment on the atom in μB.
Fractional coordinates of all 4 atoms:
Hg: 0.0070 0.0070 0.0070  0.02
Hg: 0.2492 0.2492 0.2492  0.00
Cd: 0.4936 0.4936 0.4936  -0.02
Cr: 0.7501 0.7501 0.7501  3.68

Results
- ΔE_f (eV/atom) = 0.35
- size of the total moment (μB/f.u.) = 4.075
- space group = R3m


[8]
DFT (PBE) results for an optimized crystal structure of CrCdHg2.

a = 4.9097 Å, b = 4.9097 Å, c = 4.9097 Å
α = 60.00°, β = 60.00°, γ = 60.00°
Last column: magnetic moment on the atom in μB.
Fractional coordinates of all 4 atoms:
Cr: 0.2500 0.2500 0.2500  3.90
Cd: 0.5000 0.5000 0.5000  -0.01
Hg: 0.0000 0.0000 0.0000  0.00
Hg: 0.7500 0.7500 0.7500  0.00

Results
- ΔE_f (eV/atom) = 0.34
- size of the total moment (μB/f.u.) = 4.380
- space group = F-43m


[9]
DFT (PBE) results for an optimized crystal structure of CrCd2Hg.

a = 9.6065 Å, b = 9.6065 Å, c = 9.6065 Å
α = 19.36°, β = 19.36°, γ = 19.36°
Last column: magnetic moment on the atom in μB.
Fractional coordinates of all 4 atoms:
Hg: 0.7558 0.7558 0.7558  -0.01
Cd: 0.9999 0.9999 0.9999  -0.02
Cd: 0.2447 0.2447 0.2447  -0.03
Cr: 0.4997 0.4997 0.4997  3.60

Results
- ΔE_f (eV/atom) = 0.33
- size of the total moment (μB/f.u.) = 3.867
- space group = R3m


[10]
DFT (PBE) results for an optimized crystal structure of CrCdHg.

a = 5.3063 Å, b = 5.3063 Å, c = 5.3063 Å
α = 143.13°, β = 137.13°, γ = 57.80°
Last column: magnetic moment on the atom in μB.
Fractional coordinates of all 3 atoms:
Hg: 0.6711 0.6711 0.0000  0.02
Cd: 0.9968 0.9968 0.0000  0.00
Cr: 0.3321 0.3321 0.0000  3.81

Results
- ΔE_f (eV/atom) = 0.35
- size of the total moment (μB/f.u.) = 4.311
- space group = Imm2


[11]
DFT (PBE) results for an optimized crystal structure of CrCdHg2.

a = 3.7602 Å, b = 3.7602 Å, c = 6.0557 Å
α = 90.00°, β = 90.00°, γ = 90.00°
Last column: magnetic moment on the atom in μB.
Fractional coordinates of all 4 atoms:
Hg: 0.0000 0.0000 0.9818  0.02
Hg: 0.5000 0.5000 0.2579  0.01
Cd: 0.0000 0.0000 0.5038  0.00
Cr: 0.5000 0.5000 0.7565  3.83

Results
- ΔE_f (eV/atom) = 0.30
- size of the total moment (μB/f.u.) = 4.359
- space group = P4mm


[12]
DFT (PBE) results for an optimized crystal structure of CrCdHg2.

a = 5.2624 Å, b = 5.2624 Å, c = 5.2624 Å
α = 130.13°, β = 130.16°, γ = 73.17°
Last column: magnetic moment on the atom in μB.
Fractional coordinates of all 4 atoms:
Cd: 0.7500 0.2500 0.5000  -0.03
Hg: 0.0000 0.0000 0.0000  -0.01
Hg: 0.5000 0.5000 0.0000  -0.01
Cr: 0.2500 0.7500 0.5000  3.80

Results
- ΔE_f (eV/atom) = 0.28
- size of the total moment (μB/f.u.) = 4.195
- space group = I4/mmm